# 1
# PBE CoRuSe, optimized geometry
# **Formation energy from raw total energies**: 305 meV/atom
# **DFT total energy**: -6.317 eV/atom
# **Calculated density**: 9.47 g/cm³
# **ΔE to the lowest computed polymorph**: 137.3 meV per atom
data_CoRuSe
_chemical_formula_sum 'Co2 Ru2 Se2'
_cell_length_a 3.002
_cell_length_b 3.002
_cell_length_c 9.299
_cell_angle_alpha 90.00
_cell_angle_beta 90.00
_cell_angle_gamma 90.00
_space_group_name_H-M_alt 'I 4 m m'
_space_group_IT_number 107
_space_group_name_Hall 'I 4 -2'
loop_
_atom_site_label
_atom_site_type_symbol
_atom_site_fract_x
_atom_site_fract_y
_atom_site_fract_z
Co1 Co 0.000 0.000 0.000
Ru1 Ru 0.000 0.000 0.678
Se1 Se 0.000 0.000 0.338

=====

# 2
# PBE TbZnSn3, optimized geometry
# **DFT total energy**: -3.922 eV/atom
# **Calculated density**: 7.89 g/cm³
data_TbZnSn3
_chemical_formula_sum 'Tb4 Zn4 Sn12'
_cell_length_a 12.598
_cell_length_b 6.246
_cell_length_c 6.211
_cell_angle_alpha 90.00
_cell_angle_beta 90.00
_cell_angle_gamma 90.00
_space_group_name_H-M_alt 'P b c m'
_space_group_IT_number 57
loop_
_space_group_symop_operation_xyz
'x,y,z'
'-x,-y,-z'
'-x,-y,z+1/2'
'x,y,-z+1/2'
'x,-y+1/2,-z'
'-x,y+1/2,z'
'-x,y+1/2,-z+1/2'
'x,-y+1/2,z+1/2'
loop_
_atom_site_label
_atom_site_type_symbol
_atom_site_fract_x
_atom_site_fract_y
_atom_site_fract_z
Tb1 Tb 0.195 0.010 0.250
Zn1 Zn 0.380 0.250 0.000
Sn1 Sn 0.000 0.250 0.000
Sn2 Sn 0.246 0.518 0.250
Sn3 Sn 0.437 0.652 0.750

=====

# 3
# PBE CePmPtRh, optimized geometry
# **DFT total energy**: -6.853 eV/atom
# **Calculated density**: 10.88 g/cm³
# **ΔE to the lowest computed polymorph**: 120.7 meV per atom
data_CePmPtRh
_chemical_formula_sum 'Ce4 Pm4 Pt4 Rh4'
_cell_length_a 7.088
_cell_length_b 7.088
_cell_length_c 7.088
_cell_angle_alpha 90.00
_cell_angle_beta 90.00
_cell_angle_gamma 90.00
_space_group_name_H-M_alt 'F -4 3 m'
_space_group_IT_number 216
_space_group_name_Hall 'F -4 2 3'
loop_
_atom_site_label
_atom_site_type_symbol
_atom_site_fract_x
_atom_site_fract_y
_atom_site_fract_z
Ce1 Ce 0.000 0.000 0.000
Pm1 Pm 0.000 0.000 0.500
Pt1 Pt 0.250 0.250 0.750
Rh1 Rh 0.250 0.250 0.250

=====

# 4
# PBE SrAl2C, optimized geometry
# **DFT total energy**: -4.202 eV/atom
# **Calculated density**: 2.77 g/cm³
# **ΔE to the lowest computed polymorph**: 0.0 meV per atom
data_SrAl2C
_chemical_formula_sum 'Sr4 Al8 C4'
_cell_length_a 6.424
_cell_length_b 6.424
_cell_length_c 8.915
_cell_angle_alpha 90.00
_cell_angle_beta 90.00
_cell_angle_gamma 90.00
_space_group_name_H-M_alt 'I -4 2 d'
_space_group_IT_number 122
_space_group_name_Hall 'I -4 2bw'
loop_
_atom_site_label
_atom_site_type_symbol
_atom_site_fract_x
_atom_site_fract_y
_atom_site_fract_z
Sr1 Sr 0.000 0.000 0.000
Al1 Al 0.053 0.250 0.625
C1 C 0.000 0.000 0.500

=====

# 5
# PBE YNi2MoN, optimized geometry
# **Formation energy from raw total energies**: -107 meV/atom
# **DFT total energy**: -7.544 eV/atom
# **Calculated density**: 7.64 g/cm³
data_YNi2MoN
_chemical_formula_sum 'Y1 Ni2 Mo1 N1'
_cell_length_a 4.084
_cell_length_b 4.084
_cell_length_c 4.122
_cell_angle_alpha 90.00
_cell_angle_beta 90.00
_cell_angle_gamma 90.00
_space_group_name_H-M_alt 'P 4/m m m'
_space_group_IT_number 123
_space_group_name_Hall '-P 4 2'
loop_
_atom_site_label
_atom_site_type_symbol
_atom_site_fract_x
_atom_site_fract_y
_atom_site_fract_z
Y1 Y 0.000 0.000 0.000
Ni1 Ni 0.000 0.500 0.500
Mo1 Mo 0.500 0.500 0.000
N1 N 0.500 0.500 0.500

=====

# 6
# PBE Th2Co4Ge, optimized geometry
# **DFT total energy**: -7.064 eV/atom
# **Calculated density**: 10.05 g/cm³
data_Th2Co4Ge
_chemical_formula_sum 'Th8 Co16 Ge4'
_cell_length_a 7.584
_cell_length_b 8.077
_cell_length_c 8.333
_cell_angle_alpha 90.00
_cell_angle_beta 90.00
_cell_angle_gamma 90.00
_space_group_name_H-M_alt 'F m m m'
_space_group_IT_number 69
_space_group_name_Hall '-F 2 2'
loop_
_atom_site_label
_atom_site_type_symbol
_atom_site_fract_x
_atom_site_fract_y
_atom_site_fract_z
Th1 Th 0.250 0.250 0.250
Co1 Co 0.000 0.000 0.226
Co2 Co 0.188 0.000 0.000
Ge1 Ge 0.000 0.000 0.500

=====

# 7
# PBE TeI2ClF, optimized geometry
# **Formation energy from raw total energies**: 84 meV/atom
# **DFT total energy**: -1.908 eV/atom
# **Calculated density**: 4.80 g/cm³
# **ΔE to the lowest computed polymorph**: 0.0 meV per atom
data_TeI2ClF
_chemical_formula_sum 'Te1 I2 Cl1 F1'
_cell_length_a 5.968
_cell_length_b 5.968
_cell_length_c 4.231
_cell_angle_alpha 90.00
_cell_angle_beta 90.00
_cell_angle_gamma 90.00
_space_group_name_H-M_alt 'P 4/m m m'
_space_group_IT_number 123
_space_group_name_Hall '-P 4 2'
loop_
_atom_site_label
_atom_site_type_symbol
_atom_site_fract_x
_atom_site_fract_y
_atom_site_fract_z
Te1 Te 0.000 0.000 0.000
I1 I 0.000 0.500 0.500
Cl1 Cl 0.500 0.500 0.000
F1 F 0.000 0.000 0.500

=====

# 8
# PBE TlHgSbAu, optimized geometry
# **Formation energy from raw total energies**: -28 meV/atom
# **DFT total energy**: -2.545 eV/atom
# **Calculated density**: 10.53 g/cm³
# **ΔE to the lowest computed polymorph**: 0.0 meV per atom
data_TlHgSbAu
_chemical_formula_sum 'Tl2 Hg2 Sb2 Au2'
_cell_length_a 7.874
_cell_length_b 4.494
_cell_length_c 6.938
_cell_angle_alpha 90.00
_cell_angle_beta 111.67
_cell_angle_gamma 90.00
_space_group_name_H-M_alt 'C 1 m 1'
_space_group_IT_number 8
loop_
_space_group_symop_operation_xyz
'x,y,z'
'x,-y,z'
'x+1/2,y+1/2,z'
'x+1/2,-y+1/2,z'
loop_
_atom_site_label
_atom_site_type_symbol
_atom_site_fract_x
_atom_site_fract_y
_atom_site_fract_z
Tl1 Tl 0.000 0.000 0.000
Hg1 Hg 0.230 0.000 0.692
Sb1 Sb 0.467 0.000 0.401
Au1 Au 0.255 0.500 0.267